(1)
Computed, not measured: a relaxed structure of MoAu3N at the GGA-PBE level of DFT.

Properties
Energy relative to the elements, uncorrected in meV per atom: 1175.2
SG: Pm-3m (221)
DOS at the Fermi energy in states/eV/atom: 0.37
Polymorph energy (0 for the lowest one) in meV/atom: 0
Calculated total energy in eV for the cell shown: -23.1

Unit cell a=4.4166 b=4.4166 c=4.4166 alpha=90.00 beta=90.00 gamma=90.00
Closest atoms and distances in Å follow each position.
Sites, in units of the cell vectors:
Au 0.5000 0.0000 0.0000  2 N 2.21
Au 0.0000 0.5000 0.0000  2 N 2.21
Au 0.0000 0.0000 0.5000  2 N 2.21
N 0.0000 0.0000 0.0000  6 Au 2.21
Mo 0.5000 0.5000 0.5000  12 Au 3.12



(2)
Computed, not measured: a relaxed structure of Mo3AuN at the GGA-PBE level of DFT.

Properties
Energy relative to the elements, uncorrected in meV per atom: -76.6
SG: Pm-3m (221)
DOS at the Fermi energy in states/eV/atom: 1.03
Polymorph energy (0 for the lowest one) in meV/atom: 0
Calculated total energy in eV for the cell shown: -44.5

Unit cell a=4.1428 b=4.1428 c=4.1428 alpha=90.00 beta=90.00 gamma=90.00
Closest atoms and distances in Å follow each position.
Sites, in units of the cell vectors:
Mo 0.0000 0.5000 0.0000  2 N 2.07
Mo 0.5000 0.0000 0.0000  2 N 2.07
Au 0.5000 0.5000 0.5000  12 Mo 2.93
N 0.0000 0.0000 0.0000  6 Mo 2.07
Mo 0.0000 0.0000 0.5000  2 N 2.07